CrGaGeO6: optimized geometry, PBE+U.

The structure belongs to space group P4_2nm (No. 102); the cell edges are 4.506, 4.506 and 8.883 Å and the angles 90.00°, 90.00° and 90.00°. Symmetry generates all atoms from Cr at (0.000, 0.000, 0.000), Ga at (0.000, 0.000, 0.334), Ge at (0.000, 0.000, 0.666), O at (0.189, 0.189, 0.833), O at (0.199, 0.199, 0.162) and O at (0.201, 0.201, 0.505).

As for the magnetic moment: 0.1109 μB/atom. As for the crystal system: tetragonal. The calculation puts the calculated total energy at -6.4682 eV per atom.